DFT (PBE-GGA) results for crystalline Ge2HPdN at its relaxed geometry.

Cell lengths 5.101, 5.101, 3.724 Å; angles 90.00, 90.00, 90.00 degrees
Element x y z (fractional)
Ge 0.000 0.500 0.000
Ge 0.500 0.000 0.000
H 0.000 0.000 0.500
Pd 0.500 0.500 0.000
N 0.500 0.500 0.500

Properties
E: -4.0424 eV per atom
symmetry: P4/mmm

=====

DFT (PBE-GGA) results for crystalline GeH2PtN at its relaxed geometry.

Cell lengths 3.382, 3.382, 4.573 Å; angles 90.00, 90.00, 90.00 degrees
Element x y z (fractional)
Ge 0.000 0.000 0.000
H 0.000 0.500 0.500
H 0.500 0.000 0.500
Pt 0.500 0.500 0.500
N 0.500 0.500 0.000

Properties
E: -4.6180 eV per atom
symmetry: P4/mmm

=====

DFT (PBE-GGA) results for crystalline RbGe2H6N2 at its relaxed geometry.

Cell lengths 4.060, 6.779, 7.565 Å; angles 68.01, 74.54, 72.64 degrees
Element x y z (fractional)
Rb 0.000 0.000 0.000
Ge 0.230 0.101 0.440
Ge 0.770 0.899 0.560
H 0.176 0.487 0.766
H 0.429 0.513 0.234
H 0.500 0.327 0.671
H 0.500 0.673 0.329
H 0.571 0.487 0.766
H 0.824 0.513 0.234
N 0.415 0.382 0.789
N 0.585 0.618 0.211

Properties
E: -4.4815 eV per atom
symmetry: P-1